No. 1
VASP calculation (PBE-GGA) on crystalline LiMn2TlS4 at its relaxed geometry.

Volume: 18.656 Å³ per atom
Symmetry: Cmcm
VASP energy: -5.44 eV per atom
Magnetic moment: 16.01 μB per cell
Crystal system: orthorhombic

Structure (POSCAR):
```
LiMn2TlS4
1.0
1.852 -6.173 0.000
1.852 6.173 0.000
0.000 0.000 13.057
Li Mn Tl S
2 4 2 8
Direct
0.176 0.824 0.750 Li
0.824 0.176 0.250 Li
0.368 0.632 0.061 Mn
0.368 0.632 0.439 Mn
0.632 0.368 0.561 Mn
0.632 0.368 0.939 Mn
0.111 0.889 0.250 Tl
0.889 0.111 0.750 Tl
0.000 0.000 0.000 S
0.000 0.000 0.500 S
0.260 0.740 0.595 S
0.260 0.740 0.905 S
0.429 0.571 0.250 S
0.571 0.429 0.750 S
0.740 0.260 0.095 S
0.740 0.260 0.405 S
```

No. 2
VASP calculation (PBE-GGA) on crystalline TiTcTeI2 at its relaxed geometry.

Volume: 33.483 Å³ per atom
Offset from the most stable computed form: 0.00 eV/f.u.
Symmetry: P4/mmm
Magnetic moment: 6.29 μB per cell
Crystal system: tetragonal

Structure (POSCAR):
```
TiTcTeI2
1.0
5.544 0.000 0.000
0.000 5.544 0.000
0.000 0.000 5.447
Ti Tc Te I
1 1 1 2
Direct
0.000 0.000 0.000 Ti
0.500 0.500 0.500 Tc
0.000 0.000 0.500 Te
0.000 0.500 0.000 I
0.500 0.000 0.000 I
```

No. 3
VASP calculation (PBE-GGA) on crystalline KMn at its relaxed geometry.

Volume: 32.400 Å³ per atom
Offset from the most stable computed form: 0.72 eV/f.u.
Symmetry: Fd-3m
Formation enthalpy at 0 K: 1103 meV/atom
Magnetic moment: 35.26 μB per cell
Crystal system: cubic

Structure (POSCAR):
```
KMn
1.0
8.033 0.000 0.000
0.000 8.033 0.000
0.000 0.000 8.033
K Mn
8 8
Direct
0.125 0.125 0.125 K
0.125 0.625 0.625 K
0.375 0.375 0.875 K
0.375 0.875 0.375 K
0.625 0.125 0.625 K
0.625 0.625 0.125 K
0.875 0.375 0.375 K
0.875 0.875 0.875 K
0.125 0.125 0.625 Mn
0.125 0.625 0.125 Mn
0.375 0.375 0.375 Mn
0.375 0.875 0.875 Mn
0.625 0.125 0.125 Mn
0.625 0.625 0.625 Mn
0.875 0.375 0.875 Mn
0.875 0.875 0.375 Mn
```

No. 4
VASP calculation (PBE-GGA) on crystalline RbZnCl3 at its relaxed geometry.

Volume: 45.653 Å³ per atom
Symmetry: Pm-3m
VASP energy: -1.72 eV per atom
Magnetic moment: 0.00 μB per cell
Crystal system: cubic

Structure (POSCAR):
```
RbZnCl3
1.0
6.111 0.000 0.000
0.000 6.111 0.000
0.000 0.000 6.111
Rb Zn Cl
1 1 3
Direct
0.000 0.000 0.000 Rb
0.500 0.500 0.500 Zn
0.000 0.000 0.500 Cl
0.000 0.500 0.000 Cl
0.500 0.000 0.000 Cl
```